VASP calculation (GGA-PBE) on a geometry-optimized Ac2SmZn2 structure.

Output
- DFT formation energy (eV/atom) = -0.16
- E (eV per atom) = -3.254

Cell: 3.839 21.417 3.790 Å, 90.00 90.00 90.00°
Fractional coordinates of all 10 atoms:
1 Ac 0.000 0.169 0.000
2 Ac 0.000 0.831 0.000
3 Ac 0.500 0.331 0.000
4 Ac 0.500 0.669 0.000
5 Sm 0.000 0.000 0.000
6 Sm 0.500 0.500 0.000
7 Zn 0.000 0.425 0.500
8 Zn 0.000 0.575 0.500
9 Zn 0.500 0.075 0.500
10 Zn 0.500 0.925 0.500